Crystalline InFePt at its relaxed geometry, computed with PBE.

abc: 4.4551 4.4551 2.8859
angles: 90.00 90.00 120.00
Site moments in Bohr magnetons follow the coordinates.
Positions (direct):
Pt1 0.3333 0.6667 0.7290  0.21
In1 0.6667 0.3333 0.3323  -0.03
Fe1 0.0000 0.0000 0.9387  2.86

- energy of formation from the pure elements (eV per formula unit) = -0.05


Crystalline CsPmTiO4 at its relaxed geometry, computed with PBE.

abc: 6.0907 6.1784 8.1396
angles: 90.00 108.23 90.00
Positions (direct):
Pm1 0.8054 0.7500 0.4569
O1 0.9418 0.0250 0.6599
Pm2 0.1946 0.2500 0.5431
Cs1 0.6966 0.7500 0.9304
O2 0.9418 0.4750 0.6599
Ti1 0.7337 0.2500 0.6492
Cs2 0.3034 0.2500 0.0696
O3 0.4767 0.7500 0.5602
O4 0.0582 0.5250 0.3401
O5 0.0582 0.9750 0.3401
O6 0.5233 0.2500 0.4398
O7 0.5410 0.2500 0.7825
Ti2 0.2663 0.7500 0.3508
O8 0.4590 0.7500 0.2175

- raw formation energy (kJ/mol of formula units) = -1958


Crystalline Rb3TeF at its relaxed geometry, computed with PBE.

abc: 21.7862 8.5698 8.5698
angles: 141.14 149.69 30.31
Positions (direct):
Rb1 0.8092 0.4838 0.5162
Rb2 0.1908 0.5162 0.4838
Rb3 0.4994 0.3585 0.6415
F1 0.4986 0.8185 0.1815
Te1 0.8438 0.0737 0.9263
Rb4 0.5006 0.6415 0.3585
Te2 0.1562 0.9263 0.0737
Rb5 0.2002 0.2313 0.7687
Rb6 0.7998 0.7687 0.2313
F2 0.5014 0.1815 0.8185

- relative energy among the computed polymorphs (eV/f.u.) = 0.50
- raw formation energy (kJ/mol of formula units) = -762


What did the first record say?
Crystalline InFePt at its relaxed geometry, computed with PBE.

abc: 4.4551 4.4551 2.8859
angles: 90.00 90.00 120.00
Site moments in Bohr magnetons follow the coordinates.
Positions (direct):
Pt1 0.3333 0.6667 0.7290  0.21
In1 0.6667 0.3333 0.3323  -0.03
Fe1 0.0000 0.0000 0.9387  2.86

- energy of formation from the pure elements (eV per formula unit) = -0.05


Question: What is the formula in the first record?
Answer: InFePt